VASP calculation (PBE) on a relaxed structure of Tl8Hg2Pb3.

a b c (Å): 8.7808 8.7808 6.3374
angles (deg): 91.26 91.26 61.02
Last column: nearest neighbours and their distance in Å.
Element x y z (fractional)
Tl 0.0663 0.6914 0.4526  1 Hg 3.24, 4 Tl 3.34-3.63, 1 Pb 3.34
Tl 0.1146 0.1146 0.0611  1 Hg 3.10, 2 Pb 3.35
Tl 0.3085 0.3085 0.7733  2 Hg 3.07-3.27, 1 Pb 3.41
Tl 0.3086 0.9337 0.5474  1 Hg 3.24, 4 Tl 3.34-3.63, 1 Pb 3.34
Tl 0.6914 0.0663 0.4526  1 Hg 3.24, 4 Tl 3.34-3.63, 1 Pb 3.34
Tl 0.6915 0.6915 0.2267  2 Hg 3.07-3.27, 1 Pb 3.41
Tl 0.8854 0.8854 0.9389  1 Hg 3.10, 2 Pb 3.35
Tl 0.9337 0.3086 0.5474  1 Hg 3.24, 4 Tl 3.34-3.63, 1 Pb 3.34
Hg 0.3041 0.3041 0.2578  5 Tl 3.07-3.27, 1 Pb 3.30
Hg 0.6959 0.6959 0.7422  5 Tl 3.07-3.27, 1 Pb 3.30
Pb 0.3196 0.6804 0.0000  3 Pb 3.22-3.55, 4 Tl 3.35-3.58
Pb 0.5000 0.5000 0.5000  2 Hg 3.30, 6 Tl 3.34-3.41, 4 Pb 3.55
Pb 0.6804 0.3196 0.0000  3 Pb 3.22-3.55, 4 Tl 3.35-3.58

Output
**Formation enthalpy at 0 K**: 63 meV/atom
**Crystal system**: monoclinic
**Energy above the most stable polymorph in this dataset**: 0.0202 eV per atom